1.
Tb2PrSm: optimized geometry, PBE.

Unit cell a=5.6433 b=6.8957 c=6.8957 alpha=30.00 beta=90.00 gamma=90.00
Last column: nearest neighbours and their distance in Å.
Fractional coordinates of all 4 atoms:
1 Tb 0.0000 0.0000 0.0000  3 Sm 3.43-3.69, 6 Tb 3.57-3.83, 4 Pr 3.68
2 Tb 0.5000 0.3585 0.3585  3 Pr 3.43-3.69, 6 Tb 3.57-3.83, 4 Sm 3.68
3 Pr 0.5000 0.6163 0.6163  2 Sm 3.28, 1 Tb 3.43, 2 Pr 3.57
4 Sm 0.0000 0.7423 0.7423  2 Pr 3.28, 1 Tb 3.43, 2 Sm 3.57

Output
Its crystal system is orthorhombic. The symmetry is Amm2 (38). As for the energy above the lowest structure with this stoichiometry: 59 meV/atom.



2.
Tb2SmSc: optimized geometry, PBE.

Unit cell a=3.5224 b=3.5224 c=9.8214 alpha=90.00 beta=90.00 gamma=90.00
Last column: nearest neighbours and their distance in Å.
Fractional coordinates of all 4 atoms:
1 Tb 0.0000 0.0000 0.2363  4 Sc 3.40, 4 Tb 3.52, 4 Sm 3.59
2 Tb 0.0000 0.0000 0.7637  4 Sc 3.40, 4 Tb 3.52, 4 Sm 3.59
3 Sm 0.5000 0.5000 0.5000  4 Sm 3.52, 8 Tb 3.59
4 Sc 0.5000 0.5000 0.0000  8 Tb 3.40, 4 Sc 3.52

Output
Its crystal system is tetragonal. The symmetry is P4/mmm (123). As for the energy above the lowest structure with this stoichiometry: 8 meV/atom.



Values for D(E_F), states/eV/atom, ordered as above
1.503 1.528
Values for V, Å³/cell, ordered as above
134 122
Values for mass density, Mg/m³, ordered as above
7.5 7.0